Compound: Ba2PuAgSe5
Source: Alexandria
Functional: PBE
Structure: relaxed

```
Ba2PuAgSe5
1.0
4.336 0.000 0.000
-2.168 9.420 0.000
0.000 0.000 13.240
Se Ba Pu Ag
10 4 2 2
Direct
0.653 0.305 0.509
0.294 0.588 0.657
0.944 0.889 0.550
0.302 0.604 0.374
0.056 0.111 0.050
0.498 0.995 0.764
0.347 0.695 0.009
0.706 0.412 0.157
0.698 0.396 0.874
0.502 0.005 0.264
0.878 0.756 0.822
0.116 0.232 0.693
0.884 0.768 0.193
0.122 0.244 0.322
0.201 0.401 0.018
0.799 0.599 0.518
0.560 0.120 0.938
0.440 0.880 0.438
```

ΔE_f (raw) (eV/atom): -1.334
Crystal system: orthorhombic
DOS at the Fermi energy (states/eV/f.u.): 9.244
Uncorrected energy (eV per atom): -5.607


Compound: BaPuAg2Te4
Source: Alexandria
Functional: PBE
Structure: relaxed

```
BaPuAg2Te4
1.0
7.436 0.000 0.000
3.718 6.017 0.008
3.718 0.501 5.996
Ba Ag Pu Te
1 2 1 4
Direct
0.000 0.000 0.000
0.167 0.333 0.333
0.833 0.667 0.667
0.500 0.500 0.500
0.518 0.481 0.932
0.070 0.932 0.481
0.482 0.068 0.519
0.930 0.519 0.068
```

ΔE_f (raw) (eV/atom): -0.638
Crystal system: orthorhombic
DOS at the Fermi energy (states/eV/f.u.): 16.306
Uncorrected energy (eV per atom): -4.953


Compound: BaPu2AgTe4
Source: Alexandria
Functional: PBE
Structure: relaxed

```
BaPu2AgTe4
1.0
4.579 0.000 0.000
-2.290 7.562 0.000
0.000 0.000 15.643
Ba Te Pu Ag
2 8 4 2
Direct
0.125 0.249 0.750
0.875 0.751 0.250
0.268 0.537 0.389
0.268 0.537 0.111
0.000 0.000 0.500
0.000 0.000 0.000
0.732 0.463 0.611
0.545 0.090 0.250
0.732 0.463 0.889
0.455 0.910 0.750
0.371 0.741 0.564
0.629 0.259 0.064
0.629 0.259 0.436
0.371 0.741 0.936
0.850 0.700 0.750
0.150 0.300 0.250
```

ΔE_f (raw) (eV/atom): -1.067
Crystal system: orthorhombic
DOS at the Fermi energy (states/eV/f.u.): 28.504
Uncorrected energy (eV per atom): -6.817


Compound: RbBa2Ag
Source: Alexandria
Functional: PBE
Structure: relaxed

```
RbBa2Ag
1.0
-3.416 2.291 1.018
-2.447 -2.670 -2.200
-1.511 -6.510 9.583
Ba Ag Rb
2 1 1
Direct
0.000 0.000 0.834
0.000 0.000 0.166
0.500 0.500 0.000
0.500 0.500 0.500
```

Crystal system: tetragonal
Energy relative to the elements (meV per atom): -79.0
DOS at the Fermi energy (states/eV/f.u.): 4.498
Uncorrected energy (eV per atom): -1.995


Compound: RbBa2Ag
Source: Alexandria
Functional: PBE
Structure: relaxed

```
RbBa2Ag
1.0
3.076 1.258 5.519
-2.950 3.359 4.638
-1.818 -2.932 5.441
Ba Ag Rb
2 1 1
Direct
0.750 0.750 0.750
0.250 0.250 0.250
0.500 0.500 0.500
0.000 0.000 0.000
```

Crystal system: cubic
Energy relative to the elements (meV per atom): 175.5
DOS at the Fermi energy (states/eV/f.u.): 7.383
Uncorrected energy (eV per atom): -1.741


Compound: RbBa3Ag
Source: Alexandria
Functional: PBE
Structure: relaxed

```
RbBa3Ag
1.0
7.353 0.102 -0.814
3.270 6.581 -0.821
-0.485 -0.293 12.563
Rb Ba Ag
2 6 2
Direct
0.503 0.469 0.971
0.865 0.831 0.083
0.133 0.099 0.767
0.932 0.898 0.439
0.589 0.555 0.343
0.436 0.402 0.616
0.779 0.745 0.712
0.235 0.201 0.287
0.993 0.341 0.527
0.375 0.959 0.527
```

Crystal system: monoclinic
Energy relative to the elements (meV per atom): -45.6
DOS at the Fermi energy (states/eV/f.u.): 5.289
Uncorrected energy (eV per atom): -1.963


Compound: RbBa2Ag
Source: Alexandria
Functional: PBE
Structure: relaxed

```
RbBa2Ag
1.0
-4.249 -0.948 2.124
-2.088 -4.332 -0.586
4.084 -6.157 10.947
Ba Rb Ag
2 1 1
Direct
0.119 0.119 0.642
0.881 0.881 0.358
0.000 0.000 0.000
0.500 0.500 0.500
```

Crystal system: trigonal
Energy relative to the elements (meV per atom): -37.7
DOS at the Fermi energy (states/eV/f.u.): 4.231
Uncorrected energy (eV per atom): -1.954


Compound: RbBa2Ag
Source: Alexandria
Functional: PBE
Structure: relaxed

```
RbBa2Ag
1.0
10.693 0.000 0.000
0.000 10.693 0.000
5.346 5.346 4.052
Ba Ag Rb
4 2 2
Direct
0.720 0.125 0.250
0.375 0.280 0.750
0.030 0.625 0.250
0.875 0.970 0.750
0.750 0.250 0.500
0.000 0.000 0.000
0.500 0.500 0.000
0.250 0.750 0.500
```

Crystal system: tetragonal
Energy relative to the elements (meV per atom): 90.1
DOS at the Fermi energy (states/eV/f.u.): 3.580
Uncorrected energy (eV per atom): -1.826


Compound: RbBa3Ag
Source: Alexandria
Functional: PBE
Structure: relaxed

```
RbBa3Ag
1.0
-2.847 -6.286 0.700
1.037 0.293 6.852
-6.239 2.917 0.820
Rb Ba Ag
1 3 1
Direct
0.000 0.000 0.000
0.000 0.500 0.000
0.000 0.000 0.500
0.500 0.000 0.000
0.500 0.500 0.500
```

Crystal system: cubic
Energy relative to the elements (meV per atom): 846.0
DOS at the Fermi energy (states/eV/f.u.): 6.086
Uncorrected energy (eV per atom): -1.071


Compound: RbBa2Ag
Source: Alexandria
Functional: PBE
Structure: relaxed

```
RbBa2Ag
1.0
4.719 0.000 -0.772
0.038 8.783 0.234
-0.454 0.950 12.034
Ba Ag Rb
4 2 2
Direct
0.171 0.952 0.341
0.323 0.566 0.647
0.829 0.048 0.659
0.677 0.434 0.353
0.255 0.246 0.509
0.745 0.754 0.491
0.497 0.245 0.994
0.503 0.755 0.006
```

Crystal system: monoclinic
Energy relative to the elements (meV per atom): -65.1
DOS at the Fermi energy (states/eV/f.u.): 3.632
Uncorrected energy (eV per atom): -1.981


Compound: RbBa3Ag
Source: Alexandria
Functional: PBE
Structure: relaxed

```
RbBa3Ag
1.0
-5.012 4.442 -0.791
-0.059 -1.246 -6.628
-4.512 -4.919 0.965
Rb Ba Ag
1 3 1
Direct
0.500 0.500 0.500
0.500 0.000 0.000
0.000 0.500 0.000
0.000 0.000 0.500
0.000 0.000 0.000
```

Crystal system: cubic
Energy relative to the elements (meV per atom): -42.9
DOS at the Fermi energy (states/eV/f.u.): 5.587
Uncorrected energy (eV per atom): -1.960


Compound: RbBa2Ag
Source: Alexandria
Functional: PBE
Structure: relaxed

```
RbBa2Ag
1.0
4.922 -0.001 0.009
2.460 4.263 0.009
2.481 1.432 11.678
Ag Rb Ba
1 1 2
Direct
0.667 0.667 0.001
0.500 0.500 0.499
0.281 0.281 0.154
0.052 0.052 0.846
```

Crystal system: monoclinic
Energy relative to the elements (meV per atom): -80.6
DOS at the Fermi energy (states/eV/f.u.): 3.908
Uncorrected energy (eV per atom): -1.997